Entry 1:
Compound: CsTaAuSe2S
Source: the Open Quantum Materials Database
Functional: PBE
Structure: relaxed

As for the energy: -5.10 eV/atom. Its volume is 26.24 Å³/atom. The total magnetic moment is 0.5 μB/f.u.

It has space group Cmcm (No. 63), with a = 3.8019 Å, b = 16.5987 Å, c = 9.9805 Å, α = 90.00°, β = 90.00° and γ = 90.00°. The asymmetric unit holds Cs at (0.0000, 0.2480, 0.2500), Ta at (0.0000, 0.0000, 0.0000), Au at (0.0000, 0.4542, 0.7500), Se at (0.0000, 0.3866, 0.5237) and S at (0.0000, 0.0565, 0.7500).


Entry 2:
Compound: CsWAuSeS2
Source: the Open Quantum Materials Database
Functional: PBE
Structure: relaxed

As for the energy: -5.10 eV/atom. Its volume is 26.27 Å³/atom. The total magnetic moment is 2.0 μB/f.u.

It has space group Cmcm (No. 63), with a = 3.8346 Å, b = 16.3757 Å, c = 10.0416 Å, α = 90.00°, β = 90.00° and γ = 90.00°. The asymmetric unit holds Cs at (0.0000, 0.2478, 0.2500), W at (0.0000, 0.0000, 0.0000), Au at (0.0000, 0.4400, 0.7500), Se at (0.0000, 0.0635, 0.7500) and S at (0.0000, 0.4014, 0.5229).